Here is a relaxed Pm2Si2Pt3 crystal from Alexandria via LeMat-Bulk. Energies are from GGA-PBE.

The space group is C2/m (No. 12) and the conventional cell measures 10.560, 3.931 and 7.139 Å, with angles of 90.00, 116.05 and 90.00 degrees. The distinct sites, in fractional coordinates, are Pm at (0.135, 0.000, 0.270), Si at (0.150, 0.000, 0.724), Pt at (0.000, 0.500, 0.500) and Pt at (0.128, 0.500, 0.935).

The total magnetization is 0.0 μB per formula unit. The calculation puts the distance to the lowest polymorph of the same formula at 0 meV/atom. Its density of states at the Fermi level is 3.34 states/eV/f.u. The value obtained for the total DFT energy (no corrections) is -6.5430 eV per atom.